Density functional theory data (PBE) for Pr2SmTc2N6 after structural relaxation.

The calculated total energy comes out at -8.5300 eV per atom.

The structure belongs to space group I4/mmm (No. 139); the cell edges are 3.9006, 3.9006 and 19.5168 Å and the angles 90.00°, 90.00° and 90.00°. The inequivalent atoms are Pr at (0.0000, 0.0000, 0.1840), Sm at (0.0000, 0.0000, 0.0000), Tc at (0.0000, 0.0000, 0.4109), N at (0.0000, 0.0000, 0.3037) and N at (0.0000, 0.5000, 0.0841).

Density functional theory data (PBE) for TaTlBi after structural relaxation.

For the energy above the lowest structure with this stoichiometry, the calculation gives 499 meV/atom.

The structure belongs to space group F-43m (No. 216); the cell edges are 7.0390, 7.0390 and 7.0390 Å and the angles 90.00°, 90.00° and 90.00°. The inequivalent atoms are Ta at (0.0000, 0.0000, 0.0000), Tl at (0.2500, 0.2500, 0.7500) and Bi at (0.0000, 0.0000, 0.5000).

Density functional theory data (PBE) for In2AgIr2 after structural relaxation.

For the energy above the lowest structure with this stoichiometry, the calculation gives 4 meV/atom.

The structure belongs to space group I4/mmm (No. 139); the cell edges are 4.3010, 4.3010 and 11.3425 Å and the angles 90.00°, 90.00° and 90.00°. The inequivalent atoms are In at (0.0000, 0.5000, 0.2500), Ag at (0.0000, 0.0000, 0.0000) and Ir at (0.0000, 0.0000, 0.3916).

Density functional theory data (PBE) for CsPmH2 after structural relaxation.

The calculated total energy comes out at -2.9218 eV per atom.

The structure belongs to space group P4/mmm (No. 123); the cell edges are 3.8971, 3.8971 and 5.4776 Å and the angles 90.00°, 90.00° and 90.00°. The inequivalent atoms are Cs at (0.0000, 0.0000, 0.0000), Pm at (0.5000, 0.5000, 0.5000), H at (0.0000, 0.0000, 0.5000) and H at (0.5000, 0.5000, 0.0000).

Density functional theory data (PBE) for HfPtPb after structural relaxation.

The calculated total energy comes out at -7.0071 eV per atom.

The structure belongs to space group I4mm (No. 107); the cell edges are 3.4466, 3.4466 and 10.7253 Å and the angles 90.00°, 90.00° and 90.00°. The inequivalent atoms are Hf at (0.0000, 0.0000, 0.0000), Pt at (0.0000, 0.0000, 0.3859) and Pb at (0.0000, 0.0000, 0.7021).

Density functional theory data (PBE) for PmSmAsO after structural relaxation.

For the energy above the lowest structure with this stoichiometry, the calculation gives 0 meV/atom.

The structure belongs to space group Pmc2_1 (No. 26); the cell edges are 4.2618, 7.8584 and 6.0381 Å and the angles 90.00°, 90.00° and 90.00°. The inequivalent atoms are Pm at (0.0000, 0.2027, 0.0000), Sm at (0.5000, 0.3890, 0.5709), As at (0.0000, 0.1639, 0.4938) and O at (0.5000, 0.3272, 0.9415).

Density functional theory data (PBE) for SmGdAsO after structural relaxation.

For the energy above the lowest structure with this stoichiometry, the calculation gives 78 meV/atom.

The structure belongs to space group P4/nmm (No. 129, origin choice 2); the cell edges are 4.3856, 4.3856 and 9.0028 Å and the angles 90.00°, 90.00° and 90.00°. The inequivalent atoms are Sm at (0.2500, 0.2500, 0.1051), Gd at (0.2500, 0.7500, 0.5000), As at (0.2500, 0.2500, 0.7043) and O at (0.2500, 0.7500, 0.0000).

Density functional theory data (PBE) for Tl2SbIr after structural relaxation.

The calculated total energy comes out at -3.9432 eV per atom.

The structure belongs to space group F-43m (No. 216); the cell edges are 7.1392, 7.1392 and 7.1392 Å and the angles 90.00°, 90.00° and 90.00°. The inequivalent atoms are Tl at (0.0000, 0.0000, 0.0000), Tl at (0.2500, 0.2500, 0.2500), Sb at (0.0000, 0.0000, 0.5000) and Ir at (0.2500, 0.2500, 0.7500).